Record 1
The following is a DFT calculation (PBE) of Co2SbIr after structural relaxation.

The structure in POSCAR format:
```
Co2SbIr
1.0
3.832 0.000 0.000
0.000 3.832 0.000
0.000 0.000 3.754
Co Sb Ir
2 1 1
Direct
0.000 0.500 0.000 Co
0.500 0.000 0.000 Co
0.000 0.000 0.500 Sb
0.500 0.500 0.500 Ir
```

Summary:
* total DFT energy (no corrections): -26.92 eV per cell

Record 2
The following is a DFT calculation (PBE) of CoSbIr2 after structural relaxation.

The structure in POSCAR format:
```
CoSbIr2
1.0
2.928 0.000 0.000
0.000 2.928 0.000
0.000 0.000 7.233
Co Sb Ir
1 1 2
Direct
0.000 0.000 0.000 Co
0.500 0.500 0.742 Sb
0.000 0.000 0.472 Ir
0.500 0.500 0.216 Ir
```

Summary:
* total DFT energy (no corrections): -27.57 eV per cell

Record 3
The following is a DFT calculation (PBE) of Co2SbIr after structural relaxation.

The structure in POSCAR format:
```
Co2SbIr
1.0
0.000 3.067 3.067
3.067 0.000 3.067
3.067 3.067 0.000
Co Sb Ir
2 1 1
Direct
0.000 0.000 0.000 Co
0.250 0.250 0.250 Co
0.750 0.750 0.750 Sb
0.500 0.500 0.500 Ir
```

Summary:
* total DFT energy (no corrections): -26.42 eV per cell

Record 4
The following is a DFT calculation (PBE) of CoSbIr2 after structural relaxation.

The structure in POSCAR format:
```
CoSbIr2
1.0
2.707 -4.715 0.000
2.707 4.715 0.000
-1.495 0.000 2.446
Co Sb Ir
1 1 2
Direct
0.000 0.000 0.000 Co
0.500 0.500 0.000 Sb
0.000 0.500 0.000 Ir
0.500 0.000 0.000 Ir
```

Summary:
* total DFT energy (no corrections): -27.62 eV per cell

Record 5
The following is a DFT calculation (PBE) of CoSb2Ir after structural relaxation.

The structure in POSCAR format:
```
CoSb2Ir
1.0
-1.938 1.938 4.759
1.938 -1.938 4.759
1.938 1.938 -4.759
Co Sb Ir
1 2 1
Direct
0.000 0.000 0.000 Co
0.500 0.500 0.000 Sb
0.750 0.250 0.500 Sb
0.250 0.750 0.500 Ir
```

Summary:
* polymorph energy (0 for the lowest one): 566.7 meV per atom

Record 6
The following is a DFT calculation (PBE) of CoSbIr after structural relaxation.

The structure in POSCAR format:
```
CoSbIr
1.0
4.250 0.000 0.000
-2.125 3.681 0.000
0.000 0.000 3.012
Co Sb Ir
1 1 1
Direct
0.000 0.000 0.000 Co
0.667 0.333 0.824 Sb
0.333 0.667 0.472 Ir
```

Summary:
* total DFT energy (no corrections): -19.23 eV per cell

Per-record density of states at the Fermi level, states/eV per atom: 0.8220 1.1144 1.5537 1.4389 0.8834 1.3916
Per-record M_tot, μB per cell: 0.0 1.7 3.4 1.0 0.4 0.9